No. 1
# PrPuCdIr | the Alexandria database | PBE-GGA | optimized geometry
data_PrPuCdIr
_space_group_name_H-M_alt 'F -4 3 m'
_space_group_IT_number 216
_space_group_name_Hall 'F -4 2 3'
_cell_length_a 7.286
_cell_length_b 7.286
_cell_length_c 7.286
_cell_angle_alpha 90.00
_cell_angle_beta 90.00
_cell_angle_gamma 90.00
loop_
_atom_site_label
_atom_site_fract_x
_atom_site_fract_y
_atom_site_fract_z
Pr1 0.000 0.000 0.000
Pu1 0.000 0.000 0.500
Cd1 0.250 0.250 0.750
Ir1 0.250 0.250 0.250
# - Energy of formation from the pure elements: -225.1 meV/atom
# - Volume: 387 Å³/cell


No. 2
# Cs2Rb3Cd4Au2 | the Alexandria database | PBE-GGA | optimized geometry
data_Cs2Rb3Cd4Au2
_space_group_name_H-M_alt 'I 4/m m m'
_space_group_IT_number 139
_space_group_name_Hall '-I 4 2'
_cell_length_a 4.868
_cell_length_b 4.868
_cell_length_c 44.383
_cell_angle_alpha 90.00
_cell_angle_beta 90.00
_cell_angle_gamma 90.00
loop_
_atom_site_label
_atom_site_fract_x
_atom_site_fract_y
_atom_site_fract_z
Cs1 0.000 0.000 0.202
Rb1 0.000 0.000 0.369
Rb2 0.000 0.000 0.500
Cd1 0.000 0.500 0.068
Au1 0.000 0.000 0.103
# - Energy of formation from the pure elements: -82.7 meV/atom
# - Volume: 1052 Å³/cell


No. 3
# YHfAlCu | the Alexandria database | PBE-GGA | optimized geometry
data_YHfAlCu
_space_group_name_H-M_alt 'F -4 3 m'
_space_group_IT_number 216
_space_group_name_Hall 'F -4 2 3'
_cell_length_a 6.865
_cell_length_b 6.865
_cell_length_c 6.865
_cell_angle_alpha 90.00
_cell_angle_beta 90.00
_cell_angle_gamma 90.00
loop_
_atom_site_label
_atom_site_fract_x
_atom_site_fract_y
_atom_site_fract_z
Y1 0.000 0.000 0.000
Hf1 0.000 0.000 0.500
Al1 0.250 0.250 0.750
Cu1 0.250 0.250 0.250
# - Energy of formation from the pure elements: -164.6 meV/atom
# - Volume: 323 Å³/cell


No. 4
# HfSc3Co8 | the Alexandria database | PBE-GGA | optimized geometry
data_HfSc3Co8
_space_group_name_H-M_alt 'R 3 m'
_space_group_IT_number 160
_space_group_name_Hall 'R 3 -2"'
_cell_length_a 4.8691
_cell_length_b 4.8691
_cell_length_c 23.8370
_cell_angle_alpha 90.00
_cell_angle_beta 90.00
_cell_angle_gamma 120.00
loop_
_atom_site_label
_atom_site_fract_x
_atom_site_fract_y
_atom_site_fract_z
Hf1 0.0000 0.0000 0.0000
Sc1 0.0000 0.0000 0.1257
Sc2 0.0000 0.0000 0.4988
Sc3 0.0000 0.0000 0.6231
Co1 0.0000 0.0000 0.3119
Co2 0.0000 0.0000 0.8120
Co3 0.0015 0.5008 0.5626
Co4 0.1675 0.3349 0.3946
# - Energy of formation from the pure elements: -355.0 meV/atom
# - Volume: 489 Å³/cell